No. 1
Zr2TlPb PBE optimized geometry; calculated total energy = -0.2139 Ha/atom; crystal system = trigonal; formation energy = -28 meV per atom
1.0
1.652 0.954 10.246
-1.652 0.954 10.246
0.000 -1.907 10.246
Zr Tl Pb
2 1 1
direct
0.000 0.000 0.000
0.166 0.166 0.166
0.750 0.750 0.750
0.583 0.583 0.583

=====

No. 2
Zr2TlPb PBE optimized geometry; calculated total energy = -0.1988 Ha/atom; crystal system = cubic; formation energy = 382 meV per atom
1.0
0.000 3.715 3.715
3.715 0.000 3.715
3.715 3.715 0.000
Zr Tl Pb
2 1 1
direct
0.000 0.000 0.000
0.250 0.250 0.250
0.500 0.500 0.500
0.750 0.750 0.750

=====

No. 3
ZrTlPb2 PBE optimized geometry; calculated total energy = -0.1650 Ha/atom; crystal system = tetragonal; formation energy = 92 meV per atom
1.0
-2.219 2.219 5.419
2.219 -2.219 5.419
2.219 2.219 -5.419
Zr Tl Pb
1 1 2
direct
0.000 0.000 0.000
0.750 0.250 0.500
0.250 0.750 0.500
0.500 0.500 0.000

=====

| no. | relative energy among the computed polymorphs (meV per atom) | magnetization (μB/f.u.) |
| --- | --- | --- |
| 1 | 72.9 | 0.00 |
| 2 | 482.9 | 2.29 |
| 3 | 113.9 | 0.00 |